[1]
YHI2Br | PBE-GGA | optimized geometry

Structure (CIF):
```
data_YHI2Br
_chemical_formula_sum 'Y1 H1 I2 Br1'
_space_group_name_H-M_alt 'P 1'
_space_group_IT_number 1
_cell_length_a 6.0403
_cell_length_b 6.0403
_cell_length_c 5.5833
_cell_angle_alpha 90.00
_cell_angle_beta 90.00
_cell_angle_gamma 90.00
loop_
_space_group_symop_operation_xyz
'x,y,z'
loop_
_atom_site_label
_atom_site_type_symbol
_atom_site_fract_x
_atom_site_fract_y
_atom_site_fract_z
_atom_site_occupancy
Y1 Y 0.0000 0.0000 0.0000 1
H1 H 0.5000 0.5000 0.5000 1
I1 I 0.0000 0.5000 0.0000 1
I2 I 0.5000 0.0000 0.0000 1
Br1 Br 0.0000 0.0000 0.5000 1
```

E above lowest polymorph = 0 meV/atom
uncorrected energy = -3.622 eV per atom

---

[2]
BaSeCl2 | PBE-GGA | optimized geometry

Structure (CIF):
```
data_BaSeCl2
_chemical_formula_sum 'Ba1 Se1 Cl2'
_space_group_name_H-M_alt 'P 1'
_space_group_IT_number 1
_cell_length_a 5.9298
_cell_length_b 5.9298
_cell_length_c 5.1745
_cell_angle_alpha 114.54
_cell_angle_beta 114.54
_cell_angle_gamma 105.86
loop_
_space_group_symop_operation_xyz
'x,y,z'
loop_
_atom_site_label
_atom_site_type_symbol
_atom_site_fract_x
_atom_site_fract_y
_atom_site_fract_z
_atom_site_occupancy
Ba1 Ba 0.0000 0.0000 0.0000 1
Se1 Se 0.5000 0.5000 0.0000 1
Cl1 Cl 0.0000 0.5000 0.5000 1
Cl2 Cl 0.5000 0.0000 0.5000 1
```

E above lowest polymorph = 228 meV/atom
uncorrected energy = -3.603 eV per atom

---

[3]
La2GeAu3 | PBE-GGA | optimized geometry

Structure (CIF):
```
data_La2GeAu3
_chemical_formula_sum 'La2 Ge1 Au3'
_space_group_name_H-M_alt 'P 1'
_space_group_IT_number 1
_cell_length_a 3.7873
_cell_length_b 4.6207
_cell_length_c 8.3076
_cell_angle_alpha 90.00
_cell_angle_beta 90.00
_cell_angle_gamma 90.00
loop_
_space_group_symop_operation_xyz
'x,y,z'
loop_
_atom_site_label
_atom_site_type_symbol
_atom_site_fract_x
_atom_site_fract_y
_atom_site_fract_z
_atom_site_occupancy
La1 La 0.0000 0.0000 0.0000 1
La2 La 0.0000 0.5000 0.4941 1
Ge1 Ge 0.5000 0.5000 0.8273 1
Au1 Au 0.5000 0.0000 0.3378 1
Au2 Au 0.5000 0.0000 0.6753 1
Au3 Au 0.5000 0.5000 0.1497 1
```

energy of formation = -0.826 eV per atom
uncorrected energy = -4.877 eV per atom

---

[4]
Y2As | PBE-GGA | optimized geometry

Structure (CIF):
```
data_Y2As
_chemical_formula_sum 'Y4 As2'
_space_group_name_H-M_alt 'P 1'
_space_group_IT_number 1
_cell_length_a 13.1996
_cell_length_b 13.1996
_cell_length_c 13.1996
_cell_angle_alpha 164.35
_cell_angle_beta 164.35
_cell_angle_gamma 22.20
loop_
_space_group_symop_operation_xyz
'x,y,z'
loop_
_atom_site_label
_atom_site_type_symbol
_atom_site_fract_x
_atom_site_fract_y
_atom_site_fract_z
_atom_site_occupancy
Y1 Y 0.3122 0.5622 0.7500 1
Y2 Y 0.4378 0.6878 0.7500 1
Y3 Y 0.5622 0.3122 0.2500 1
Y4 Y 0.6878 0.4378 0.2500 1
As1 As 0.1250 0.8750 0.2500 1
As2 As 0.8750 0.1250 0.7500 1
```

energy of formation = -0.653 eV per atom
uncorrected energy = -6.512 eV per atom

---

[5]
ZrGaCu | PBE-GGA | optimized geometry

Structure (CIF):
```
data_ZrGaCu
_chemical_formula_sum 'Zr2 Ga2 Cu2'
_space_group_name_H-M_alt 'P 1'
_space_group_IT_number 1
_cell_length_a 2.9638
_cell_length_b 4.2519
_cell_length_c 8.1767
_cell_angle_alpha 90.00
_cell_angle_beta 91.15
_cell_angle_gamma 90.00
loop_
_space_group_symop_operation_xyz
'x,y,z'
loop_
_atom_site_label
_atom_site_type_symbol
_atom_site_fract_x
_atom_site_fract_y
_atom_site_fract_z
_atom_site_occupancy
Zr1 Zr 0.0121 0.0000 0.1873 1
Zr2 Zr 0.9879 0.0000 0.8127 1
Ga1 Ga 0.5000 0.0000 0.5000 1
Ga2 Ga 0.5000 0.5000 0.0000 1
Cu1 Cu 0.4740 0.5000 0.6632 1
Cu2 Cu 0.5260 0.5000 0.3368 1
```

energy of formation = -0.285 eV per atom
uncorrected energy = -5.509 eV per atom

---

[6]
V3Re2Tc | PBE-GGA | optimized geometry

Structure (CIF):
```
data_V3Re2Tc
_chemical_formula_sum 'V3 Re2 Tc1'
_space_group_name_H-M_alt 'P 1'
_space_group_IT_number 1
_cell_length_a 3.0377
_cell_length_b 3.0377
_cell_length_c 9.0932
_cell_angle_alpha 90.00
_cell_angle_beta 90.00
_cell_angle_gamma 90.00
loop_
_space_group_symop_operation_xyz
'x,y,z'
loop_
_atom_site_label
_atom_site_type_symbol
_atom_site_fract_x
_atom_site_fract_y
_atom_site_fract_z
_atom_site_occupancy
V1 V 0.0000 0.0000 0.0000 1
V2 V 0.0000 0.0000 0.3342 1
V3 V 0.0000 0.0000 0.6658 1
Re1 Re 0.5000 0.5000 0.1673 1
Re2 Re 0.5000 0.5000 0.8327 1
Tc1 Tc 0.5000 0.5000 0.5000 1
```

energy of formation = -0.357 eV per atom
uncorrected energy = -10.793 eV per atom

---

[7]
PtSIN2 | PBE-GGA | optimized geometry

Structure (CIF):
```
data_PtSIN2
_chemical_formula_sum 'Pt1 S1 I1 N2'
_space_group_name_H-M_alt 'P 1'
_space_group_IT_number 1
_cell_length_a 3.8140
_cell_length_b 3.8140
_cell_length_c 6.0399
_cell_angle_alpha 90.00
_cell_angle_beta 90.00
_cell_angle_gamma 90.00
loop_
_space_group_symop_operation_xyz
'x,y,z'
loop_
_atom_site_label
_atom_site_type_symbol
_atom_site_fract_x
_atom_site_fract_y
_atom_site_fract_z
_atom_site_occupancy
Pt1 Pt 0.0000 0.0000 0.0000 1
S1 S 0.5000 0.5000 0.0000 1
I1 I 0.5000 0.5000 0.5000 1
N1 N 0.0000 0.5000 0.5000 1
N2 N 0.5000 0.0000 0.5000 1
```

E above lowest polymorph = 845 meV/atom
uncorrected energy = -3.625 eV per atom

---

[8]
La3CeDy12 | PBE-GGA | optimized geometry

Structure (CIF):
```
data_La3CeDy12
_chemical_formula_sum 'La3 Ce1 Dy12'
_space_group_name_H-M_alt 'P 1'
_space_group_IT_number 1
_cell_length_a 5.0671
_cell_length_b 5.0671
_cell_length_c 20.2507
_cell_angle_alpha 90.00
_cell_angle_beta 90.00
_cell_angle_gamma 90.00
loop_
_space_group_symop_operation_xyz
'x,y,z'
loop_
_atom_site_label
_atom_site_type_symbol
_atom_site_fract_x
_atom_site_fract_y
_atom_site_fract_z
_atom_site_occupancy
La1 La 0.0000 0.0000 0.0000 1
La2 La 0.0000 0.0000 0.2519 1
La3 La 0.0000 0.0000 0.7481 1
Ce1 Ce 0.0000 0.0000 0.5000 1
Dy1 Dy 0.0000 0.5000 0.1263 1
Dy2 Dy 0.0000 0.5000 0.3790 1
Dy3 Dy 0.0000 0.5000 0.6210 1
Dy4 Dy 0.0000 0.5000 0.8737 1
Dy5 Dy 0.5000 0.0000 0.1263 1
Dy6 Dy 0.5000 0.0000 0.3790 1
Dy7 Dy 0.5000 0.0000 0.6210 1
Dy8 Dy 0.5000 0.0000 0.8737 1
Dy9 Dy 0.5000 0.5000 0.0000 1
Dy10 Dy 0.5000 0.5000 0.2518 1
Dy11 Dy 0.5000 0.5000 0.5000 1
Dy12 Dy 0.5000 0.5000 0.7482 1
```

energy of formation = 0.039 eV per atom
uncorrected energy = -4.707 eV per atom

---

| no. | V (Å³ per cell) |
| --- | --- |
| 1 | 203.7 |
| 2 | 126.8 |
| 3 | 145.4 |
| 4 | 167.3 |
| 5 | 103.0 |
| 6 | 83.9 |
| 7 | 87.9 |
| 8 | 519.9 |